DFT (PBEsol) results for Li2AgF4 after structural relaxation.

Summary:
Energy above the most stable polymorph in this dataset, eV/atom: 0.0543
Formation energy without anion corrections, eV/atom: -2.088
Total energy, eV/atom: -4.2244

Unit cell a=8.737 b=8.737 c=5.584 alpha=90.00 beta=90.00 gamma=90.00
Space group P4/ncc (No. 130, origin choice 2)
Asymmetric unit:
Li  0.000  0.000  0.250 (multiplicity 8)
Ag  0.250  0.250  0.001 (multiplicity 4)
F  0.039  0.143  0.001 (multiplicity 16)

DFT (PBEsol) results for CoRuPt4 after structural relaxation.

Summary:
Energy relative to the elements, eV/atom: 0.548
Fermi-level density of states, states/eV/cell: 20.05
Total energy, eV/atom: -7.0796

Unit cell a=7.224 b=7.224 c=7.224 alpha=90.00 beta=90.00 gamma=90.00
Space group F-43m (No. 216)
Asymmetric unit:
Co  0.000  0.000  0.000 (multiplicity 4)
Ru  0.250  0.250  0.750 (multiplicity 4)
Pt  0.125  0.125  0.375 (multiplicity 16)

DFT (PBEsol) results for La3HfBi after structural relaxation.

Summary:
Energy above the most stable polymorph in this dataset, eV/atom: 0.0000
Energy relative to the elements, eV/atom: 0.239
Fermi-level density of states, states/eV/cell: 4.39
Total energy, eV/atom: -5.9262

Unit cell a=5.551 b=5.551 c=5.551 alpha=90.00 beta=90.00 gamma=90.00
Space group Pm-3m (No. 221)
Asymmetric unit:
La  0.000  0.000  0.500 (multiplicity 3)
Hf  0.000  0.000  0.000 (multiplicity 1)
Bi  0.500  0.500  0.500 (multiplicity 1)

DFT (PBEsol) results for CaZrW2 after structural relaxation.

Summary:
Energy above the most stable polymorph in this dataset, eV/atom: 0.4331
Energy relative to the elements, eV/atom: 0.853
Fermi-level density of states, states/eV/cell: 10.15
Total energy, eV/atom: -8.8565

Unit cell a=3.968 b=3.968 c=9.583 alpha=90.00 beta=90.00 gamma=90.00
Space group I4/mmm (No. 139)
Asymmetric unit:
Ca  0.000  0.000  0.000 (multiplicity 2)
Zr  0.000  0.000  0.500 (multiplicity 2)
W  0.000  0.500  0.250 (multiplicity 4)

DFT (PBEsol) results for CdAg4 after structural relaxation.

Summary:
Energy above the most stable polymorph in this dataset, eV/atom: 0.0111
Energy relative to the elements, eV/atom: -0.035
Fermi-level density of states, states/eV/cell: 2.54
Total energy, eV/atom: -2.9234

Unit cell a=2.932 b=4.019 c=14.491 alpha=90.00 beta=90.00 gamma=90.00
Space group Immm (No. 71)
Asymmetric unit:
Cd  0.000  0.000  0.000 (multiplicity 2)
Ag  0.000  0.000  0.201 (multiplicity 4)
Ag  0.000  0.000  0.398 (multiplicity 4)

DFT (PBEsol) results for AlCr after structural relaxation.

Summary:
Energy relative to the elements, eV/atom: -0.066
Fermi-level density of states, states/eV/cell: 4.69
Total energy, eV/atom: -7.2329

Unit cell a=5.834 b=5.834 c=5.834 alpha=90.00 beta=90.00 gamma=90.00
Space group Fd-3m (No. 227, origin choice 2)
Asymmetric unit:
Al  0.125  0.125  0.125 (multiplicity 8)
Cr  0.125  0.125  0.625 (multiplicity 8)